The following is a GGA-PBE calculation of a geometry-optimized LiPr2PdAu6 structure, from Alexandria via LeMat-Bulk.

## Properties
Magnetic moment   0.0 μB per cell
Theoretical density   11.84 g/cm³
Energy of formation from the pure elements   -0.478 eV/atom
N(E_F)   5.86 states/eV/cell
SG   No. 2

Cell lengths 6.7515, 7.1451, 6.7485 Å; angles 81.69, 47.26, 99.20 degrees
Last column: nearest neighbours and their distance in Å.
Fractional coordinates of all 10 atoms:
Li: 0.5000 0.5000 0.0000  6 Au 2.56-2.61
Pr: 0.2762 0.7945 0.4812  7 Au 3.15-3.26, 2 Pd 3.37
Pr: 0.7238 0.2055 0.5188  7 Au 3.15-3.26, 2 Pd 3.37
Pd: 0.0000 0.0000 0.0000  6 Au 2.76-2.78
Au: 0.2836 0.7689 0.0141  1 Li 2.57, 2 Au 2.70-2.71, 1 Pd 2.76
Au: 0.7494 0.5866 0.1631  1 Li 2.61, 1 Pd 2.78
Au: 0.2173 0.2306 0.4845  1 Li 2.56, 2 Au 2.70-2.71, 1 Pd 2.76
Au: 0.7164 0.2311 0.9859  1 Li 2.57, 2 Au 2.70-2.71, 1 Pd 2.76
Au: 0.2506 0.4134 0.8369  1 Li 2.61, 1 Pd 2.78
Au: 0.7827 0.7694 0.5155  1 Li 2.56, 2 Au 2.70-2.71, 1 Pd 2.76

---

The following is a GGA-PBE calculation of a geometry-optimized LiPdPtAu structure, from Alexandria via LeMat-Bulk.

## Properties
Magnetic moment   0.0 μB per cell
Theoretical density   13.56 g/cm³
Energy of formation from the pure elements   -0.373 eV/atom
N(E_F)   2.09 states/eV/cell
SG   No. 10

Cell lengths 2.8110, 4.7975, 4.8252 Å; angles 108.04, 90.00, 90.00 degrees
Last column: nearest neighbours and their distance in Å.
Fractional coordinates of all 4 atoms:
Li: 0.5000 0.5234 0.7929  4 Au 2.78, 4 Pd 2.79, 2 Li 2.81, 2 Pt 2.83
Pd: 0.0000 0.5233 0.2931  4 Pt 2.78, 4 Li 2.79, 2 Pd 2.81, 2 Au 2.83
Pt: 0.5000 0.0233 0.2930  4 Pd 2.78, 4 Au 2.79, 2 Pt 2.81, 2 Li 2.83
Au: 0.0000 0.0236 0.7931  4 Li 2.78, 4 Pt 2.79, 2 Au 2.81, 2 Pd 2.83

---

The following is a GGA-PBE calculation of a geometry-optimized Li2PdPtAu5 structure, from Alexandria via LeMat-Bulk.

## Properties
Magnetic moment   0.0 μB per cell
Theoretical density   14.81 g/cm³
Energy of formation from the pure elements   -0.089 eV/atom
N(E_F)   5.69 states/eV/cell
SG   No. 140

Cell lengths 6.1226, 6.1226, 8.9033 Å; angles 110.11, 110.11, 90.00 degrees
Last column: nearest neighbours and their distance in Å.
Fractional coordinates of all 18 atoms:
Li: 0.1168 0.3832 0.0000  1 Li 2.02
Li: 0.6168 0.1168 0.0000  1 Li 2.02
Li: 0.3832 0.8832 0.0000  1 Li 2.02
Li: 0.8832 0.6168 0.0000  1 Li 2.02
Pd: 0.2500 0.7500 0.5000  8 Au 2.71-2.99
Pd: 0.7500 0.2500 0.5000  8 Au 2.71-2.99
Pt: 0.2500 0.2500 0.5000  8 Au 2.85, 4 Pd 3.06
Pt: 0.7500 0.7500 0.5000  8 Au 2.85, 4 Pd 3.06
Au: 0.9023 0.4023 0.2624  1 Li 2.44, 1 Pd 2.71
Au: 0.6399 0.1399 0.7376  1 Li 2.44, 1 Pd 2.71
Au: 0.0977 0.5977 0.7376  1 Li 2.44, 1 Pd 2.71
Au: 0.1399 0.0977 0.7376  1 Li 2.44, 1 Pd 2.71
Au: 0.5977 0.6399 0.7376  1 Li 2.44, 1 Pd 2.71
Au: 0.8601 0.9023 0.2624  1 Li 2.44, 1 Pd 2.71
Au: 0.4023 0.3601 0.2624  1 Li 2.44, 1 Pd 2.71
Au: 0.3601 0.8601 0.2624  1 Li 2.44, 1 Pd 2.71
Au: 0.5000 0.5000 0.0000  4 Li 2.45
Au: 0.0000 0.0000 0.0000  4 Li 2.45

---

The following is a GGA-PBE calculation of a geometry-optimized Li2Pd5PtAu structure, from Alexandria via LeMat-Bulk.

## Properties
Magnetic moment   0.0 μB per cell
Theoretical density   11.64 g/cm³
Energy of formation from the pure elements   -0.050 eV/atom
N(E_F)   19.69 states/eV/cell
SG   No. 140

Cell lengths 5.8236, 5.8236, 8.8991 Å; angles 109.10, 109.10, 90.00 degrees
Last column: nearest neighbours and their distance in Å.
Fractional coordinates of all 18 atoms:
Li: 0.1181 0.3819 0.0000  1 Li 1.95
Li: 0.6181 0.1181 0.0000  1 Li 1.95
Li: 0.3819 0.8819 0.0000  1 Li 1.95
Li: 0.8819 0.6181 0.0000  1 Li 1.95
Pd: 0.8958 0.3958 0.2563  1 Li 2.37
Pd: 0.6396 0.1396 0.7437  1 Li 2.37
Pd: 0.1042 0.6042 0.7437  1 Li 2.37
Pd: 0.1396 0.1042 0.7437  1 Li 2.37
Pd: 0.6042 0.6396 0.7437  1 Li 2.37
Pd: 0.8604 0.8958 0.2563  1 Li 2.37
Pd: 0.3958 0.3604 0.2563  1 Li 2.37
Pd: 0.3604 0.8604 0.2563  1 Li 2.37
Pd: 0.5000 0.5000 0.0000  4 Li 2.33
Pd: 0.0000 0.0000 0.0000  4 Li 2.33
Pt: 0.2500 0.2500 0.5000  8 Pd 2.82, 4 Au 2.91
Pt: 0.7500 0.7500 0.5000  8 Pd 2.82, 4 Au 2.91
Au: 0.2500 0.7500 0.5000  8 Pd 2.71-2.93, 4 Pt 2.91
Au: 0.7500 0.2500 0.5000  8 Pd 2.71-2.93, 4 Pt 2.91

---

The following is a GGA-PBE calculation of a geometry-optimized Li2PuPd2Au structure, from Alexandria via LeMat-Bulk.

## Properties
Magnetic moment   5.4 μB per cell
Theoretical density   10.53 g/cm³
Energy of formation from the pure elements   -0.425 eV/atom
N(E_F)   14.51 states/eV/cell
SG   No. 164

Cell lengths 4.3730, 4.3730, 6.3583 Å; angles 90.00, 90.00, 120.00 degrees
Last column: nearest neighbours and their distance in Å.
Fractional coordinates of all 6 atoms:
Li: 0.3333 0.6667 0.6456  4 Pd 2.63-2.64, 3 Au 2.69
Li: 0.6667 0.3333 0.3544  4 Pd 2.63-2.64, 3 Au 2.69
Pu: 0.0000 0.0000 0.0000  6 Pd 2.92, 2 Au 3.18
Pd: 0.3333 0.6667 0.2317  4 Li 2.63-2.64, 3 Pu 2.92
Pd: 0.6667 0.3333 0.7683  4 Li 2.63-2.64, 3 Pu 2.92
Au: 0.0000 0.0000 0.5000  6 Li 2.69

---

The following is a GGA-PBE calculation of a geometry-optimized RbLiPdAu2 structure, from Alexandria via LeMat-Bulk.

## Properties
Magnetic moment   0.0 μB per cell
Theoretical density   6.15 g/cm³
Energy of formation from the pure elements   1.144 eV/atom
N(E_F)   3.57 states/eV/cell
SG   No. 123

Cell lengths 5.7038, 4.9167, 5.7038 Å; angles 90.00, 90.00, 90.00 degrees
Last column: nearest neighbours and their distance in Å.
Fractional coordinates of all 5 atoms:
Au: 0.0000 0.0000 0.5000  2 Rb 2.85
Au: 0.5000 0.0000 0.0000  2 Rb 2.85
Rb: 0.0000 0.0000 0.0000  2 Li 2.46
Pd: 0.5000 0.5000 0.5000  8 Au 3.77, 4 Li 4.03
Li: 0.0000 0.5000 0.0000  2 Rb 2.46

---

The following is a GGA-PBE calculation of a geometry-optimized Li2SbPdAu5 structure, from Alexandria via LeMat-Bulk.

## Properties
Magnetic moment   0.0 μB per cell
Theoretical density   13.22 g/cm³
N(E_F)   8.62 states/eV/cell
Formation energy without anion corrections   -0.15 eV/atom
SG   No. 140

Cell lengths 5.9386, 5.9386, 9.6973 Å; angles 107.83, 107.83, 90.00 degrees
Last column: nearest neighbours and their distance in Å.
Fractional coordinates of all 18 atoms:
Li: 0.1233 0.3767 0.0000  1 Li 2.07
Li: 0.6233 0.1233 0.0000  1 Li 2.07
Li: 0.3767 0.8767 0.0000  1 Li 2.07
Li: 0.8767 0.6233 0.0000  1 Li 2.07
Sb: 0.2500 0.2500 0.5000  4 Pd 2.97, 8 Au 3.17
Sb: 0.7500 0.7500 0.5000  4 Pd 2.97, 8 Au 3.17
Pd: 0.2500 0.7500 0.5000  4 Au 2.80, 4 Sb 2.97
Pd: 0.7500 0.2500 0.5000  4 Au 2.80, 4 Sb 2.97
Au: 0.9302 0.4302 0.2347  3 Li 2.60-2.78, 1 Pd 2.80
Au: 0.6955 0.1955 0.7653  3 Li 2.60-2.78, 1 Pd 2.80
Au: 0.0698 0.5698 0.7653  3 Li 2.60-2.78, 1 Pd 2.80
Au: 0.1955 0.0698 0.7653  3 Li 2.60-2.78, 1 Pd 2.80
Au: 0.5698 0.6955 0.7653  3 Li 2.60-2.78, 1 Pd 2.80
Au: 0.8045 0.9302 0.2347  3 Li 2.60-2.78, 1 Pd 2.80
Au: 0.4302 0.3045 0.2347  3 Li 2.60-2.78, 1 Pd 2.80
Au: 0.3045 0.8045 0.2347  3 Li 2.60-2.78, 1 Pd 2.80
Au: 0.5000 0.5000 0.0000  4 Li 2.35
Au: 0.0000 0.0000 0.0000  4 Li 2.35

---

The following is a GGA-PBE calculation of a geometry-optimized LiSbPdAu structure, from Alexandria via LeMat-Bulk.

## Properties
Magnetic moment   0.0 μB per cell
Theoretical density   10.21 g/cm³
N(E_F)   1.70 states/eV/cell
Formation energy without anion corrections   -0.45 eV/atom
SG   No. 216

Cell lengths 4.6322, 4.6322, 4.6322 Å; angles 60.00, 60.00, 60.00 degrees
Last column: nearest neighbours and their distance in Å.
Fractional coordinates of all 4 atoms:
Sb: 0.7500 0.7500 0.7500  4 Au 2.84, 4 Pd 2.84
Au: 0.0000 0.0000 0.0000  4 Li 2.84, 4 Sb 2.84
Pd: 0.5000 0.5000 0.5000  4 Sb 2.84, 4 Li 2.84
Li: 0.2500 0.2500 0.2500  4 Pd 2.84, 4 Au 2.84

---

The following is a GGA-PBE calculation of a geometry-optimized Li2ScPdAu structure, from Alexandria via LeMat-Bulk.

## Properties
Magnetic moment   0.0 μB per cell
Theoretical density   5.90 g/cm³
Energy of formation from the pure elements   0.008 eV/atom
N(E_F)   3.99 states/eV/cell
SG   No. 123

Cell lengths 4.4058, 5.2525, 4.4058 Å; angles 90.00, 90.00, 90.00 degrees
Last column: nearest neighbours and their distance in Å.
Fractional coordinates of all 5 atoms:
Sc: 0.5000 0.5000 0.5000  4 Pd 3.12, 8 Li 3.43
Au: 0.0000 0.0000 0.0000  4 Li 2.20
Pd: 0.0000 0.5000 0.0000  2 Au 2.63
Li: 0.0000 0.0000 0.5000  2 Au 2.20
Li: 0.5000 0.0000 0.0000  2 Au 2.20

---

The following is a GGA-PBE calculation of a geometry-optimized LiScPdAu structure, from Alexandria via LeMat-Bulk.

## Properties
Magnetic moment   0.0 μB per cell
Theoretical density   8.82 g/cm³
Energy of formation from the pure elements   -0.722 eV/atom
N(E_F)   1.40 states/eV/cell
SG   No. 99

Cell lengths 3.2606, 3.2606, 6.2930 Å; angles 90.00, 90.00, 90.00 degrees
Last column: nearest neighbours and their distance in Å.
Fractional coordinates of all 4 atoms:
Li: 0.0000 0.0000 0.3609  4 Au 2.73, 4 Pd 2.74, 1 Sc 3.03
Sc: 0.0000 0.0000 0.8430  4 Pd 2.78, 4 Au 2.92, 1 Li 3.03
Pd: 0.5000 0.5000 0.5956  4 Li 2.74, 4 Sc 2.78, 1 Au 2.94
Au: 0.5000 0.5000 0.1285  4 Li 2.73, 4 Sc 2.92, 1 Pd 2.94